Ac2TbPuS4: relaxed, PBE.

The calculated density comes out at 8.22 g cm⁻³. The value obtained for the density of states at the Fermi level is 9.39 states/eV/cell. The calculation puts the total energy at -7.396 eV per atom. The calculation puts the total magnetization at 5.7 Bohr magnetons per cell.

The structure belongs to space group P2/m (No. 10); the cell edges are 7.110, 4.087 and 7.238 Å and the angles 90.00°, 108.96° and 90.00°. The distinct sites, in fractional coordinates, are Ac at (0.000, 0.000, 0.000), Ac at (0.500, 0.500, 0.000), Tb at (0.000, 0.500, 0.500), Pu at (0.500, 0.000, 0.500), S at (0.239, 0.000, 0.723) and S at (0.257, 0.500, 0.276).